# ZnCoNi2 | Alexandria via LeMat-Bulk | PBEsol | optimized geometry
data_ZnCoNi2
_space_group_name_H-M_alt 'P 4/m m m'
_space_group_IT_number 123
_space_group_name_Hall '-P 4 2'
_cell_length_a 2.516
_cell_length_b 2.516
_cell_length_c 6.908
_cell_angle_alpha 90.00
_cell_angle_beta 90.00
_cell_angle_gamma 90.00
loop_
_atom_site_label
_atom_site_type_symbol
_atom_site_fract_x
_atom_site_fract_y
_atom_site_fract_z
Zn1 Zn 0.000 0.000 0.000
Co1 Co 0.000 0.000 0.500
Ni1 Ni 0.500 0.500 0.260
# Spin magnetization ... 2.484 Bohr magnetons per cell
# Total energy ... -5.508 eV per atom
# N(E_F) ... 3.3 states/eV per cell
# DFT formation energy ... -100 meV/atom